# 1
A plane-wave DFT calculation with PBE was carried out for crystalline La4Ag2HgRh at its relaxed geometry.

DOS at the Fermi energy   6.87 states/eV/f.u.
E   -36.61 eV per cell
Space group   R-3m

a b c (Å): 9.122 9.122 9.122
angles (deg): 34.43 34.43 34.43
Atoms (fractional coordinates):
La1 0.114 0.114 0.114
La2 0.367 0.367 0.367
La3 0.633 0.633 0.633
La4 0.886 0.886 0.886
Ag1 0.240 0.240 0.240
Ag2 0.760 0.760 0.760
Hg1 0.500 0.500 0.500
Rh1 0.000 0.000 0.000

***

# 2
A plane-wave DFT calculation with PBE was carried out for crystalline ThCoSbH at its relaxed geometry.

DOS at the Fermi energy   2.18 states/eV/f.u.
E   -24.70 eV per cell
Space group   P3m1

a b c (Å): 4.344 4.344 4.234
angles (deg): 90.00 90.00 120.00
Atoms (fractional coordinates):
Th1 0.000 0.000 0.000
Co1 0.667 0.333 0.616
Sb1 0.333 0.667 0.499
H1 0.667 0.333 0.992

***

# 3
A plane-wave DFT calculation with PBE was carried out for crystalline Na3Tl2Cd5 at its relaxed geometry.

DOS at the Fermi energy   3.66 states/eV/f.u.
Energy above the lowest structure with this stoichiometry   0.00 eV per formula unit
E   -27.29 eV per cell
Space group   Ibam

a b c (Å): 10.358 10.358 10.358
angles (deg): 112.07 77.42 147.35
Atoms (fractional coordinates):
Na1 0.172 0.730 0.902
Na2 0.250 0.250 0.000
Na3 0.328 0.230 0.558
Na4 0.672 0.770 0.442
Na5 0.750 0.750 0.000
Na6 0.828 0.270 0.098
Tl1 0.056 0.231 0.287
Tl2 0.444 0.731 0.176
Tl3 0.556 0.269 0.824
Tl4 0.944 0.769 0.713
Cd1 0.064 0.250 0.814
Cd2 0.160 0.442 0.603
Cd3 0.250 0.750 0.500
Cd4 0.340 0.942 0.282
Cd5 0.436 0.250 0.186
Cd6 0.564 0.750 0.814
Cd7 0.660 0.058 0.718
Cd8 0.750 0.250 0.500
Cd9 0.840 0.558 0.397
Cd10 0.936 0.750 0.186